First-principles (PBE+U) data for a relaxed structure of EuNiO3, as listed in Alexandria.

Unit cell a=5.481 b=7.654 c=5.407 alpha=90.00 beta=90.00 gamma=90.00
Space group Pnma (No. 62)
Symmetry-distinct sites (fractional):
Eu 0.048 0.250 0.008 x4
Ni 0.000 0.000 0.500 x4
O 0.017 0.750 0.421 x4
O 0.202 0.540 0.798 x8

Volume in A^3/atom: 11.341
Total magnetization in μB per formula unit: 7.000
ρ in g cm⁻³: 7.6
E_tot in eV per atom: -7.2964